[1]
# MoIrOsI2 (PBE, relaxed)
data_MoIrOsI2
_cell_length_a 5.2133
_cell_length_b 5.2133
_cell_length_c 4.8111
_cell_angle_alpha 90.00
_cell_angle_beta 90.00
_cell_angle_gamma 90.00
_symmetry_space_group_name_H-M 'P 4/m m m'
_symmetry_Int_Tables_number 123
_symmetry_space_group_name_Hall '-P 4 2'
loop_
_atom_site_label
_atom_site_type_symbol
_atom_site_fract_x
_atom_site_fract_y
_atom_site_fract_z
Mo1 Mo 0.0000 0.0000 0.0000
Ir1 Ir 0.5000 0.5000 0.5000
Os1 Os 0.0000 0.0000 0.5000
I1 I 0.0000 0.5000 0.0000
# VASP energy: -4.628 eV/atom
# Density of states at the Fermi level: 9.0 states/eV per cell
# Formation energy from raw total energies: 2.177 eV per atom
# Crystal system: tetragonal
# Total magnetization: 3.002 μB/f.u.

[2]
# Mo2IrPbI (PBE, relaxed)
data_Mo2IrPbI
_cell_length_a 5.3279
_cell_length_b 5.3279
_cell_length_c 5.7775
_cell_angle_alpha 90.00
_cell_angle_beta 90.00
_cell_angle_gamma 90.00
_symmetry_space_group_name_H-M 'P 4/m m m'
_symmetry_Int_Tables_number 123
_symmetry_space_group_name_Hall '-P 4 2'
loop_
_atom_site_label
_atom_site_type_symbol
_atom_site_fract_x
_atom_site_fract_y
_atom_site_fract_z
Mo1 Mo 0.0000 0.5000 0.0000
Ir1 Ir 0.0000 0.0000 0.5000
Pb1 Pb 0.5000 0.5000 0.0000
I1 I 0.5000 0.5000 0.5000
# VASP energy: -4.300 eV/atom
# Density of states at the Fermi level: 10.4 states/eV per cell
# Formation energy from raw total energies: 2.856 eV per atom
# Crystal system: tetragonal
# Total magnetization: 7.468 μB/f.u.

[3]
# MoIrPt2I (PBE, relaxed)
data_MoIrPt2I
_cell_length_a 4.8438
_cell_length_b 4.8438
_cell_length_c 4.9425
_cell_angle_alpha 90.00
_cell_angle_beta 90.00
_cell_angle_gamma 90.00
_symmetry_space_group_name_H-M 'P 4/m m m'
_symmetry_Int_Tables_number 123
_symmetry_space_group_name_Hall '-P 4 2'
loop_
_atom_site_label
_atom_site_type_symbol
_atom_site_fract_x
_atom_site_fract_y
_atom_site_fract_z
Mo1 Mo 0.0000 0.0000 0.0000
Ir1 Ir 0.5000 0.5000 0.0000
Pt1 Pt 0.0000 0.5000 0.5000
I1 I 0.0000 0.0000 0.5000
# VASP energy: -4.573 eV/atom
# Density of states at the Fermi level: 6.9 states/eV per cell
# Formation energy from raw total energies: 2.092 eV per atom
# Crystal system: tetragonal
# Total magnetization: 2.922 μB/f.u.

[4]
# ReMo2IrI (PBE, relaxed)
data_ReMo2IrI
_cell_length_a 4.7227
_cell_length_b 4.7227
_cell_length_c 5.1141
_cell_angle_alpha 90.00
_cell_angle_beta 90.00
_cell_angle_gamma 90.00
_symmetry_space_group_name_H-M 'P 4/m m m'
_symmetry_Int_Tables_number 123
_symmetry_space_group_name_Hall '-P 4 2'
loop_
_atom_site_label
_atom_site_type_symbol
_atom_site_fract_x
_atom_site_fract_y
_atom_site_fract_z
Re1 Re 0.0000 0.0000 0.0000
Mo1 Mo 0.0000 0.5000 0.0000
Ir1 Ir 0.5000 0.5000 0.5000
I1 I 0.0000 0.0000 0.5000
# VASP energy: -6.654 eV/atom
# Density of states at the Fermi level: 7.8 states/eV per cell
# Formation energy from raw total energies: 2.250 eV per atom
# Crystal system: tetragonal
# Total magnetization: 1.053 μB/f.u.

[5]
# Tl2MoIrI (PBE, relaxed)
data_Tl2MoIrI
_cell_length_a 6.2742
_cell_length_b 6.2742
_cell_length_c 5.2945
_cell_angle_alpha 90.00
_cell_angle_beta 90.00
_cell_angle_gamma 90.00
_symmetry_space_group_name_H-M 'P 4/m m m'
_symmetry_Int_Tables_number 123
_symmetry_space_group_name_Hall '-P 4 2'
loop_
_atom_site_label
_atom_site_type_symbol
_atom_site_fract_x
_atom_site_fract_y
_atom_site_fract_z
Tl1 Tl 0.0000 0.5000 0.0000
Mo1 Mo 0.0000 0.0000 0.5000
Ir1 Ir 0.5000 0.5000 0.5000
I1 I 0.0000 0.0000 0.0000
# VASP energy: -3.194 eV/atom
# Density of states at the Fermi level: 3.3 states/eV per cell
# Formation energy from raw total energies: 2.001 eV per atom
# Crystal system: tetragonal
# Total magnetization: 6.058 μB/f.u.

[6]
# VMoIr2I (PBE, relaxed)
data_VMoIr2I
_cell_length_a 4.5797
_cell_length_b 4.5797
_cell_length_c 5.0198
_cell_angle_alpha 90.00
_cell_angle_beta 90.00
_cell_angle_gamma 90.00
_symmetry_space_group_name_H-M 'P 4/m m m'
_symmetry_Int_Tables_number 123
_symmetry_space_group_name_Hall '-P 4 2'
loop_
_atom_site_label
_atom_site_type_symbol
_atom_site_fract_x
_atom_site_fract_y
_atom_site_fract_z
V1 V 0.0000 0.0000 0.0000
Mo1 Mo 0.5000 0.5000 0.5000
Ir1 Ir 0.0000 0.5000 0.0000
I1 I 0.0000 0.0000 0.5000
# VASP energy: -6.317 eV/atom
# Density of states at the Fermi level: 5.1 states/eV per cell
# Formation energy from raw total energies: 1.527 eV per atom
# Crystal system: tetragonal
# Total magnetization: 4.013 μB/f.u.

[7]
# Y2MoIrI (PBE, relaxed)
data_Y2MoIrI
_cell_length_a 5.3371
_cell_length_b 5.3371
_cell_length_c 4.9394
_cell_angle_alpha 90.00
_cell_angle_beta 90.00
_cell_angle_gamma 90.00
_symmetry_space_group_name_H-M 'P 4/m m m'
_symmetry_Int_Tables_number 123
_symmetry_space_group_name_Hall '-P 4 2'
loop_
_atom_site_label
_atom_site_type_symbol
_atom_site_fract_x
_atom_site_fract_y
_atom_site_fract_z
Y1 Y 0.0000 0.5000 0.0000
Mo1 Mo 0.0000 0.0000 0.0000
Ir1 Ir 0.5000 0.5000 0.5000
I1 I 0.0000 0.0000 0.5000
# VASP energy: -5.897 eV/atom
# Density of states at the Fermi level: 4.4 states/eV per cell
# Formation energy from raw total energies: 0.937 eV per atom
# Crystal system: tetragonal
# Total magnetization: 0.638 μB/f.u.

[8]
# IrI2N (PBE, relaxed)
data_IrI2N
_cell_length_a 5.5730
_cell_length_b 5.5730
_cell_length_c 12.4054
_cell_angle_alpha 90.00
_cell_angle_beta 90.00
_cell_angle_gamma 90.00
_symmetry_space_group_name_H-M 'I -4 2 d'
_symmetry_Int_Tables_number 122
_symmetry_space_group_name_Hall 'I -4 2bw'
loop_
_atom_site_label
_atom_site_type_symbol
_atom_site_fract_x
_atom_site_fract_y
_atom_site_fract_z
Ir1 Ir 0.0000 0.0000 0.0000
I1 I 0.2305 0.2500 0.6250
N1 N 0.0000 0.0000 0.5000
# VASP energy: -3.632 eV/atom
# Density of states at the Fermi level: 3.7 states/eV per cell
# Formation energy from raw total energies: 1.440 eV per atom
# Crystal system: tetragonal
# Total magnetization: 0.000 μB/f.u.